The following is a GGA-PBE calculation of crystalline Ac2Tb3Sm8 at its relaxed geometry, from Alexandria via LeMat-Bulk.

abc: 6.2983 8.9585 8.9585
angles: 83.49 72.62 72.62
With the nearest neighbours (Å) after each atom.
Positions (direct):
Sm  0.3273  0.4185  0.9132  2 Sm 3.36-3.70, 2 Ac 3.53-3.72, 2 Tb 3.58-3.64
Sm  0.9556  0.1486  0.1486  3 Tb 3.20-3.53, 1 Sm 3.45, 1 Ac 3.52
Sm  0.2314  0.5708  0.5708  4 Sm 3.15-3.45, 2 Ac 3.38-3.42
Sm  0.6727  0.5815  0.0868  2 Sm 3.36-3.70, 2 Ac 3.53-3.72, 2 Tb 3.58-3.64
Sm  0.6727  0.0868  0.5815  2 Sm 3.36-3.70, 2 Ac 3.53-3.72, 2 Tb 3.58-3.64
Sm  0.3273  0.9132  0.4185  2 Sm 3.36-3.70, 2 Ac 3.53-3.72, 2 Tb 3.58-3.64
Sm  0.0444  0.8514  0.8514  3 Tb 3.20-3.53, 1 Sm 3.45, 1 Ac 3.52
Sm  0.7686  0.4292  0.4292  4 Sm 3.15-3.45, 2 Ac 3.38-3.42
Ac  0.3514  0.2978  0.2978  9 Sm 3.38-3.77, 1 Tb 3.71
Ac  0.6486  0.7022  0.7022  9 Sm 3.38-3.77, 1 Tb 3.71
Tb  0.5000  0.0000  0.0000  2 Sm 3.20
Tb  0.0000  0.7506  0.2494  8 Sm 3.53-3.92
Tb  0.0000  0.2494  0.7506  8 Sm 3.53-3.92

Calculated values
The density of states at the Fermi level is 20.8 states/eV/cell. For the total energy, the calculation gives -4.413 eV per atom. The calculation puts the energy relative to the elements at 191.3 meV/atom. The calculation puts the energy relative to the lowest polymorph listed for this composition at 0.000 eV per atom.